## Dy2Pd4Au (PBE-GGA)

Data for crystalline Dy2Pd4Au at its relaxed geometry.

## Properties
Formation enthalpy at 0 K: -0.72 eV per atom
Uncorrected energy: -5.4703 eV per atom

CIF file:
```
data_Dy2Pd4Au
_chemical_formula_sum 'Dy4 Pd8 Au2'
_cell_length_a 3.9693
_cell_length_b 3.9693
_cell_length_c 18.1342
_cell_angle_alpha 90.00
_cell_angle_beta 90.00
_cell_angle_gamma 90.00
_symmetry_space_group_name_H-M 'I 4/m m m'
_symmetry_Int_Tables_number 139
_symmetry_space_group_name_Hall '-I 4 2'
loop_
_atom_site_label
_atom_site_type_symbol
_atom_site_fract_x
_atom_site_fract_y
_atom_site_fract_z
Dy1 Dy 0.0000 0.0000 0.1129
Pd1 Pd 0.0000 0.0000 0.3541
Pd2 Pd 0.0000 0.5000 0.2500
Au1 Au 0.0000 0.0000 0.5000
```



## Dy2Pd3Au (PBE-GGA)

Data for crystalline Dy2Pd3Au at its relaxed geometry.

## Properties
Formation enthalpy at 0 K: -0.66 eV per atom
Uncorrected energy: -5.3337 eV per atom

CIF file:
```
data_Dy2Pd3Au
_chemical_formula_sum 'Dy16 Pd24 Au8'
_cell_length_a 9.9479
_cell_length_b 9.9479
_cell_length_c 10.7554
_cell_angle_alpha 90.00
_cell_angle_beta 90.00
_cell_angle_gamma 90.00
_symmetry_space_group_name_H-M 'I 41/a m d'
_symmetry_Int_Tables_number 141
loop_
_symmetry_equiv_pos_as_xyz
'x,y,z'
'-x,-y,-z'
'-y+1/4,x+3/4,z+1/4'
'y+1/4,-x+3/4,-z+1/4'
'-x+1/2,-y,z+1/2'
'x+1/2,y,-z+1/2'
'y+1/4,-x+1/4,z+3/4'
'-y+1/4,x+1/4,-z+3/4'
'x,-y,-z'
'-x,y,z'
'-y+1/4,-x+1/4,-z+3/4'
'y+1/4,x+1/4,z+3/4'
'-x+1/2,y,-z+1/2'
'x+1/2,-y,z+1/2'
'y+1/4,x+3/4,-z+1/4'
'-y+1/4,-x+3/4,z+1/4'
'x+1/2,y+1/2,z+1/2'
'-x+1/2,-y+1/2,-z+1/2'
'-y+3/4,x+1/4,z+3/4'
'y+3/4,-x+1/4,-z+3/4'
'-x,-y+1/2,z'
'x,y+1/2,-z'
'y+3/4,-x+3/4,z+1/4'
'-y+3/4,x+3/4,-z+1/4'
'x+1/2,-y+1/2,-z+1/2'
'-x+1/2,y+1/2,z+1/2'
'-y+3/4,-x+3/4,-z+1/4'
'y+3/4,x+3/4,z+1/4'
'-x,y+1/2,-z'
'x,-y+1/2,z'
'y+3/4,x+1/4,-z+3/4'
'-y+3/4,-x+1/4,z+3/4'
loop_
_atom_site_label
_atom_site_type_symbol
_atom_site_fract_x
_atom_site_fract_y
_atom_site_fract_z
Dy1 Dy 0.0000 0.0549 0.2247
Pd1 Pd 0.0000 0.0000 0.5000
Pd2 Pd 0.2390 0.0110 0.3750
Au1 Au 0.0000 0.2500 0.0080
```



## Dy2Pd6Au (PBE-GGA)

Data for crystalline Dy2Pd6Au at its relaxed geometry.

## Properties
Formation enthalpy at 0 K: -0.67 eV per atom
Uncorrected energy: -5.5177 eV per atom

CIF file:
```
data_Dy2Pd6Au
_chemical_formula_sum 'Dy4 Pd12 Au2'
_cell_length_a 12.1815
_cell_length_b 4.1262
_cell_length_c 6.7293
_cell_angle_alpha 90.00
_cell_angle_beta 108.13
_cell_angle_gamma 90.00
_symmetry_space_group_name_H-M 'C 1 2/m 1'
_symmetry_Int_Tables_number 12
loop_
_symmetry_equiv_pos_as_xyz
'x,y,z'
'-x,-y,-z'
'-x,y,-z'
'x,-y,z'
'x+1/2,y+1/2,z'
'-x+1/2,-y+1/2,-z'
'-x+1/2,y+1/2,-z'
'x+1/2,-y+1/2,z'
loop_
_atom_site_label
_atom_site_type_symbol
_atom_site_fract_x
_atom_site_fract_y
_atom_site_fract_z
Dy1 Dy 0.0664 0.0000 0.3247
Pd1 Pd 0.1126 0.5000 0.6710
Pd2 Pd 0.1705 0.0000 0.0000
Pd3 Pd 0.2245 0.5000 0.3259
Au1 Au 0.0000 0.5000 0.0000
```



## Dy2Pd8Au (PBE-GGA)

Data for crystalline Dy2Pd8Au at its relaxed geometry.

## Properties
Formation enthalpy at 0 K: -0.54 eV per atom
Uncorrected energy: -5.4477 eV per atom

CIF file:
```
data_Dy2Pd8Au
_chemical_formula_sum 'Dy4 Pd16 Au2'
_cell_length_a 14.5626
_cell_length_b 4.2410
_cell_length_c 6.5420
_cell_angle_alpha 90.00
_cell_angle_beta 107.72
_cell_angle_gamma 90.00
_symmetry_space_group_name_H-M 'C 1 2/m 1'
_symmetry_Int_Tables_number 12
loop_
_symmetry_equiv_pos_as_xyz
'x,y,z'
'-x,-y,-z'
'-x,y,-z'
'x,-y,z'
'x+1/2,y+1/2,z'
'-x+1/2,-y+1/2,-z'
'-x+1/2,y+1/2,-z'
'x+1/2,-y+1/2,z'
loop_
_atom_site_label
_atom_site_type_symbol
_atom_site_fract_x
_atom_site_fract_y
_atom_site_fract_z
Dy1 Dy 0.2156 0.0000 0.1659
Pd1 Pd 0.0355 0.0000 0.2250
Pd2 Pd 0.0917 0.5000 0.9434
Pd3 Pd 0.1430 0.0000 0.6822
Pd4 Pd 0.1706 0.5000 0.3994
Au1 Au 0.0000 0.5000 0.5000
```



## DyPd3Au7 (PBE-GGA)

Data for crystalline DyPd3Au7 at its relaxed geometry.

## Properties
Formation enthalpy at 0 K: -0.10 eV per atom
Uncorrected energy: -4.0156 eV per atom

CIF file:
```
data_DyPd3Au7
_chemical_formula_sum 'Dy2 Pd6 Au14'
_cell_length_a 9.7846
_cell_length_b 9.8713
_cell_length_c 5.1621
_cell_angle_alpha 90.00
_cell_angle_beta 119.44
_cell_angle_gamma 90.00
_symmetry_space_group_name_H-M 'C 1 2/m 1'
_symmetry_Int_Tables_number 12
loop_
_symmetry_equiv_pos_as_xyz
'x,y,z'
'-x,-y,-z'
'-x,y,-z'
'x,-y,z'
'x+1/2,y+1/2,z'
'-x+1/2,-y+1/2,-z'
'-x+1/2,y+1/2,-z'
'x+1/2,-y+1/2,z'
loop_
_atom_site_label
_atom_site_type_symbol
_atom_site_fract_x
_atom_site_fract_y
_atom_site_fract_z
Dy1 Dy 0.0000 0.0000 0.0000
Pd1 Pd 0.0000 0.2668 0.5000
Pd2 Pd 0.0000 0.5000 0.0000
Au1 Au 0.0000 0.0000 0.5000
Au2 Au 0.1703 0.5000 0.6513
Au3 Au 0.1726 0.2633 0.1733
```



## DyPd2Au5 (PBE-GGA)

Data for crystalline DyPd2Au5 at its relaxed geometry.

## Properties
Formation enthalpy at 0 K: -0.44 eV per atom
Uncorrected energy: -4.3580 eV per atom

CIF file:
```
data_DyPd2Au5
_chemical_formula_sum 'Dy2 Pd4 Au10'
_cell_length_a 5.8778
_cell_length_b 11.8043
_cell_length_c 4.2035
_cell_angle_alpha 90.00
_cell_angle_beta 90.00
_cell_angle_gamma 90.00
_symmetry_space_group_name_H-M 'P b a m'
_symmetry_Int_Tables_number 55
loop_
_symmetry_equiv_pos_as_xyz
'x,y,z'
'-x,-y,-z'
'-x,-y,z'
'x,y,-z'
'x+1/2,-y+1/2,-z'
'-x+1/2,y+1/2,z'
'-x+1/2,y+1/2,-z'
'x+1/2,-y+1/2,z'
loop_
_atom_site_label
_atom_site_type_symbol
_atom_site_fract_x
_atom_site_fract_y
_atom_site_fract_z
Dy1 Dy 0.0000 0.0000 0.0000
Pd1 Pd 0.2480 0.3762 0.5000
Au1 Au 0.0000 0.5000 0.0000
Au2 Au 0.0006 0.2489 0.0000
Au3 Au 0.2443 0.6280 0.5000
```



## DyPd5Au2 (PBE-GGA)

Data for crystalline DyPd5Au2 at its relaxed geometry.

## Properties
Formation enthalpy at 0 K: -0.48 eV per atom
Uncorrected energy: -5.1241 eV per atom

CIF file:
```
data_DyPd5Au2
_chemical_formula_sum 'Dy2 Pd10 Au4'
_cell_length_a 5.7422
_cell_length_b 11.4492
_cell_length_c 4.1655
_cell_angle_alpha 90.00
_cell_angle_beta 90.00
_cell_angle_gamma 90.00
_symmetry_space_group_name_H-M 'P b a m'
_symmetry_Int_Tables_number 55
loop_
_symmetry_equiv_pos_as_xyz
'x,y,z'
'-x,-y,-z'
'-x,-y,z'
'x,y,-z'
'x+1/2,-y+1/2,-z'
'-x+1/2,y+1/2,z'
'-x+1/2,y+1/2,-z'
'x+1/2,-y+1/2,z'
loop_
_atom_site_label
_atom_site_type_symbol
_atom_site_fract_x
_atom_site_fract_y
_atom_site_fract_z
Dy1 Dy 0.0000 0.0000 0.0000
Pd1 Pd 0.0000 0.5000 0.0000
Pd2 Pd 0.0223 0.2498 0.0000
Pd3 Pd 0.2376 0.8758 0.5000
Au1 Au 0.2281 0.6298 0.5000
```



## DyPd4Au (PBE-GGA)

Data for crystalline DyPd4Au at its relaxed geometry.

## Properties
Formation enthalpy at 0 K: -0.50 eV per atom
Uncorrected energy: -5.2755 eV per atom

CIF file:
```
data_DyPd4Au
_chemical_formula_sum 'Dy2 Pd8 Au2'
_cell_length_a 5.5627
_cell_length_b 5.6403
_cell_length_c 7.0694
_cell_angle_alpha 90.00
_cell_angle_beta 105.35
_cell_angle_gamma 90.00
_symmetry_space_group_name_H-M 'P 1 21/m 1'
_symmetry_Int_Tables_number 11
loop_
_symmetry_equiv_pos_as_xyz
'x,y,z'
'-x,-y,-z'
'-x,y+1/2,-z'
'x,-y+1/2,z'
loop_
_atom_site_label
_atom_site_type_symbol
_atom_site_fract_x
_atom_site_fract_y
_atom_site_fract_z
Dy1 Dy 0.2293 0.2500 0.4808
Pd1 Pd 0.1650 0.7500 0.8482
Pd2 Pd 0.2673 0.7500 0.4921
Pd3 Pd 0.4134 0.5036 0.1858
Au1 Au 0.0936 0.2500 0.8633
```



> The highest formation enthalpy at 0 K belongs to which entry?

DyPd3Au7